(1)
Na2Tl3Sb2 | PBE | relaxed

Calculated values
Distance to the lowest polymorph of the same formula (eV/atom): 0.010
Symmetry: No. 12
Energy (eV per atom): -2.721

extended XYZ file:
```
7
Lattice="-2.219 -4.422 -0.079 5.510 -0.038 2.333 -4.686 2.232 6.718" Properties=species:S:1:pos:R:3 pbc="T T T"
Na -2.543 1.167 6.142
Na 1.148 -3.395 2.829
Sb -1.799 -1.985 6.697
Tl -1.109 -2.211 -0.039
Tl 0.689 -0.443 5.457
Sb 0.404 -0.243 2.275
Tl -2.084 -1.785 3.514
```

---

(2)
RbCrCl3 | PBE | relaxed

Calculated values
Symmetry: No. 12
Energy (eV per atom): -4.533

extended XYZ file:
```
10
Lattice="-21.148 -8.642 3.918 -6.429 -6.053 -1.277 8.206 2.314 2.626" Properties=species:S:1:pos:R:3 pbc="T T T"
Cl -10.173 -5.813 4.322
Cl -17.557 -9.075 5.013
Cr -23.803 -13.057 2.206
Cl -7.219 -4.215 4.856
Cr 4.433 0.677 3.060
Rb -15.126 -9.462 0.735
Rb -4.244 -2.919 4.531
Cl -12.152 -8.165 0.410
Cl -1.813 -3.305 0.253
Cl -9.197 -6.568 0.944
```

---

(3)
Sr5Ga2Br2 | PBE | relaxed

Calculated values
Symmetry: No. 64
Energy (eV per atom): -2.847

extended XYZ file:
```
18
Lattice="8.172 0.000 2.966 0.000 8.731 0.000 1.265 0.000 9.254" Properties=species:S:1:pos:R:3 pbc="T T T"
Sr 0.635 5.755 2.416
Br 2.907 4.365 4.732
Sr 4.721 7.341 3.899
Sr 7.388 7.341 9.291
Sr 0.000 0.000 0.000
Ga 5.129 1.116 1.862
Br 6.993 0.000 6.215
Br 6.530 4.365 7.489
Ga 1.043 3.250 0.379
Br 2.444 0.000 6.006
Sr 4.716 1.390 8.321
Ga 3.043 7.615 1.105
Sr 6.135 2.976 4.413
Sr 4.086 4.365 1.483
Sr 3.302 5.755 7.808
Sr 2.049 1.390 2.930
Ga 7.129 5.481 2.588
Sr 8.802 2.976 9.804
```

---

(4)
CsBeCdSe2 | PBE | relaxed

Calculated values
Symmetry: No. 13
Energy (eV per atom): -3.011

extended XYZ file:
```
10
Lattice="-4.943 -1.414 -0.738 2.189 -7.601 -0.101 -1.231 0.223 7.819" Properties=species:S:1:pos:R:3 pbc="T T T"
Cd -3.231 -0.780 1.519
Se -3.176 -6.964 6.464
Se -4.094 -2.480 4.028
Cs -1.137 -4.008 5.619
Cs -2.848 -4.784 1.362
Cd -2.943 -0.411 5.563
Se 0.110 -6.311 2.953
Se -0.809 -1.828 0.517
Be 0.000 0.000 0.000
Be -0.615 0.111 3.910
```

---

(5)
CoNi2Ag | PBE | relaxed

Calculated values
Energy of formation (eV per atom): 0.309
Distance to the lowest polymorph of the same formula (eV/atom): 0.148
Symmetry: No. 123
Energy (eV per atom): -5.071

extended XYZ file:
```
4
Lattice="-0.733 -2.837 -2.323 3.303 -1.538 0.836 -1.543 -1.834 2.725" Properties=species:S:1:pos:R:3 pbc="T T T"
Ni 0.000 0.000 0.000
Ni 1.285 -2.187 -0.744
Ag -1.138 -2.335 0.201
Co 0.880 -1.686 1.780
```

---

(6)
MoOs | PBE | relaxed

Calculated values
Energy of formation (eV per atom): 0.456
Symmetry: No. 176
Energy (eV per atom): -10.575

extended XYZ file:
```
12
Lattice="7.285 0.000 0.000 -3.643 6.309 0.000 0.000 0.000 4.325" Properties=species:S:1:pos:R:3 pbc="T T T"
Os -0.500 1.538 1.081
Mo -0.494 5.684 3.244
Mo 4.675 3.270 1.081
Os 5.703 0.336 3.244
Mo 4.137 0.625 1.081
Os 1.082 1.202 3.244
Mo 1.527 3.895 3.244
Mo 2.116 2.414 1.081
Os -2.061 5.973 1.081
Mo -1.033 3.039 3.244
Os 2.561 5.107 1.081
Os 4.142 4.771 3.244
```